[1]
The following is a PBE-GGA calculation of an optimized crystal structure of Rb2CuOsCl6, from OQMD.

a = 9.8254 Å, b = 9.8254 Å, c = 9.8254 Å
α = 90.00°, β = 90.00°, γ = 90.00°
Last column: nearest neighbours and their distance in Å.
Space group Fm-3m (No. 225)
Unique sites:
Rb  0.2500  0.2500  0.2500 [8 per cell]  12 Cl 3.47
Cu  0.0000  0.0000  0.0000 [4 per cell]  6 Cl 2.51
Os  0.0000  0.0000  0.5000 [4 per cell]  6 Cl 2.40
Cl  0.0000  0.0000  0.2560 [24 per cell]  1 Os 2.40, 1 Cu 2.51

Calculated values
Size of the total moment (Bohr magnetons per cell): 3.984
E_tot (eV/cell): -148.85

---

[2]
The following is a PBE-GGA calculation of an optimized crystal structure of CuP4Se3Cl, from OQMD.

a = 12.5534 Å, b = 11.5272 Å, c = 6.5765 Å
α = 90.00°, β = 100.86°, γ = 90.00°
Last column: nearest neighbours and their distance in Å.
Space group P2_1/c (No. 14)
Unique sites:
Cu  0.0163  0.1461  0.2498 [4 per cell]  2 P 2.26-2.28, 2 Cl 2.30-2.34
P  0.1422  0.5681  0.2003 [4 per cell]  2 P 2.23-2.25, 1 Se 2.26, 1 Cu 2.26
P  0.1587  0.0454  0.4336 [4 per cell]  2 P 2.23-2.27, 1 Se 2.26, 1 Cu 2.28
P  0.2178  0.6413  0.9430 [4 per cell]  2 P 2.25-2.27, 1 Se 2.26
P  0.4055  0.0312  0.7699 [4 per cell]  3 Se 2.27-2.29
Se  0.2799  0.5206  0.4610 [4 per cell]  2 P 2.26-2.27
Se  0.3062  0.1567  0.5428 [4 per cell]  2 P 2.26-2.27
Se  0.3984  0.6297  0.0636 [4 per cell]  2 P 2.26-2.29
Cl  0.0270  0.1707  0.9065 [4 per cell]  2 Cu 2.30-2.34

Calculated values
E_tot (eV/cell): -157.22

---

[3]
The following is a PBE-GGA calculation of an optimized crystal structure of Pa4Cu3Cl2, from OQMD.

a = 8.1037 Å, b = 3.1106 Å, c = 8.1062 Å
α = 90.00°, β = 119.91°, γ = 90.00°
Last column: nearest neighbours and their distance in Å.
Space group Pm (No. 6)
Unique sites:
Pa  0.0000  0.0000  0.0000 [1 per cell]  6 Cu 2.84, 5 Pa 3.04-3.11
Pa  0.0223  0.0000  0.3859 [1 per cell]  3 Cl 2.70-2.87
Pa  0.3631  0.0000  0.9773 [1 per cell]  3 Cl 2.70-2.87
Pa  0.6138  0.0000  0.6366 [1 per cell]  3 Cl 2.70-2.86
Cu  0.3046  0.5000  0.2807 [1 per cell]  6 Pa 2.84-3.14, 3 Cl 3.02-3.15, 2 Cu 3.11
Cu  0.7188  0.5000  0.0239 [1 per cell]  6 Pa 2.84-3.14, 3 Cl 3.02-3.15, 2 Cu 3.11
Cu  0.9757  0.5000  0.6950 [1 per cell]  6 Pa 2.84-3.14, 3 Cl 3.02-3.16, 2 Cu 3.11
Cl  0.3329  0.5000  0.6664 [1 per cell]  6 Pa 2.86-2.87, 3 Cu 3.02, 2 Cl 3.11
Cl  0.6663  0.0000  0.3331 [1 per cell]  3 Pa 2.70

Calculated values
Size of the total moment (Bohr magnetons per cell): 0.086
E_tot (eV/cell): -53.59

---

[4]
The following is a PBE-GGA calculation of an optimized crystal structure of Tl2CuPbCl6, from OQMD.

a = 10.3562 Å, b = 10.3562 Å, c = 10.3562 Å
α = 90.00°, β = 90.00°, γ = 90.00°
Last column: nearest neighbours and their distance in Å.
Space group Fm-3m (No. 225)
Unique sites:
Tl  0.2500  0.2500  0.2500 [8 per cell]  12 Cl 3.66
Cu  0.0000  0.0000  0.0000 [4 per cell]  6 Cl 2.43
Pb  0.0000  0.0000  0.5000 [4 per cell]  6 Cl 2.75
Cl  0.0000  0.0000  0.2346 [24 per cell]  1 Cu 2.43

Calculated values
E_tot (eV/cell): -127.49

---

[5]
The following is a PBE-GGA calculation of an optimized crystal structure of CuPdCl6, from OQMD.

a = 3.9353 Å, b = 6.4631 Å, c = 7.7748 Å
α = 109.05°, β = 94.42°, γ = 97.48°
Last column: nearest neighbours and their distance in Å.
Space group P1 (No. 1)
Unique sites:
Cu  0.0000  0.0000  0.0000 [1 per cell]  2 Cl 2.22
Pd  0.5075  0.5007  0.0036 [1 per cell]  4 Cl 2.34-2.36
Cl  0.0054  0.0012  0.5037 [1 per cell]  2 Cl 2.74-2.75
Cl  0.1762  0.4403  0.2253 [1 per cell]  1 Cl 2.32, 1 Pd 2.34
Cl  0.3855  0.1150  0.8433 [1 per cell]  1 Cu 2.22, 1 Pd 2.36
Cl  0.5064  0.5006  0.5030 [1 per cell]  2 Cl 2.32-2.33
Cl  0.6311  0.8855  0.1643 [1 per cell]  1 Cu 2.22, 1 Pd 2.35
Cl  0.8387  0.5608  0.7822 [1 per cell]  1 Cl 2.33, 1 Pd 2.34

Calculated values
E_tot (eV/cell): -20.79

---

[6]
The following is a PBE-GGA calculation of an optimized crystal structure of Rb2CuPdCl6, from OQMD.

a = 21.1230 Å, b = 6.5113 Å, c = 6.0268 Å
α = 90.00°, β = 104.39°, γ = 90.00°
Last column: nearest neighbours and their distance in Å.
Space group Cm (No. 8)
Unique sites:
Rb  0.0000  0.0000  0.0000 [2 per cell]  2 Cu 3.07-3.42, 3 Cl 3.21-3.39
Rb  0.2405  0.0000  0.2745 [2 per cell]  3 Cl 3.12-3.42
Cu  0.4409  0.5000  0.4794 [2 per cell]  3 Cl 2.09-2.27
Pd  0.0984  0.0000  0.6202 [2 per cell]  4 Cl 2.27-2.38
Cl  0.0159  0.2473  0.4718 [4 per cell]  1 Cu 2.27, 1 Pd 2.38
Cl  0.1735  0.2450  0.7688 [4 per cell]  1 Pd 2.27
Cl  0.3556  0.5000  0.5971 [2 per cell]  1 Cu 2.09
Cl  0.3668  0.0000  0.6738 [2 per cell]  1 Rb 3.12, 2 Cl 3.29

Calculated values
E_tot (eV/cell): -61.37

---

Question: Among the records above, which one has the highest E_tot?
Answer: CuPdCl6